# 1
DFT (PBE) results for a relaxed KMg2Zr crystal.

Output
VASP energy: -2.925 eV/atom
space-group type: R-3m, No. 166
ρ: 2.7 g/cm³

a b c (Å): 12.053 12.053 12.053
angles (deg): 15.54 15.54 15.54
Sites, in units of the cell vectors:
K 0.000 0.000 0.000
Mg 0.240 0.240 0.240
Mg 0.760 0.760 0.760
Zr 0.500 0.500 0.500

# 2
DFT (PBE) results for a relaxed K6Mn7 crystal.

Output
VASP energy: -4.570 eV/atom
space-group type: R-3m, No. 166
ρ: 2.3 g/cm³

a b c (Å): 11.773 11.773 11.773
angles (deg): 33.44 33.44 33.44
Sites, in units of the cell vectors:
K 0.057 0.057 0.057
K 0.157 0.157 0.157
K 0.326 0.326 0.326
K 0.674 0.674 0.674
K 0.843 0.843 0.843
K 0.943 0.943 0.943
Mn 0.179 0.563 0.563
Mn 0.437 0.437 0.821
Mn 0.437 0.821 0.437
Mn 0.500 0.500 0.500
Mn 0.563 0.179 0.563
Mn 0.563 0.563 0.179
Mn 0.821 0.437 0.437

# 3
DFT (PBE) results for a relaxed K3Mn crystal.

Output
VASP energy: -2.508 eV/atom
space-group type: P4/mmm, No. 123
ρ: 1.4 g/cm³

a b c (Å): 4.238 4.238 11.797
angles (deg): 90.00 90.00 90.00
Sites, in units of the cell vectors:
K 0.000 0.000 0.000
K 0.500 0.500 0.311
K 0.500 0.500 0.689
Mn 0.000 0.000 0.500

# 4
DFT (PBE) results for a relaxed KMn2 crystal.

Output
VASP energy: -5.401 eV/atom
space-group type: P-3m1, No. 164
ρ: 3.9 g/cm³

a b c (Å): 3.215 3.215 7.101
angles (deg): 90.00 90.00 120.00
Sites, in units of the cell vectors:
K 0.000 0.000 0.000
Mn 0.333 0.667 0.572
Mn 0.667 0.333 0.428

# 5
DFT (PBE) results for a relaxed K3Mn crystal.

Output
VASP energy: -2.466 eV/atom
space-group type: Pm-3m, No. 221
ρ: 1.4 g/cm³

a b c (Å): 5.869 5.869 5.869
angles (deg): 90.00 90.00 90.00
Sites, in units of the cell vectors:
K 0.000 0.000 0.500
K 0.000 0.500 0.000
K 0.500 0.000 0.000
Mn 0.500 0.500 0.500

# 6
DFT (PBE) results for a relaxed K3Mn crystal.

Output
VASP energy: -2.591 eV/atom
space-group type: Cmcm, No. 63
ρ: 1.3 g/cm³

a b c (Å): 9.944 9.944 4.376
angles (deg): 90.00 90.00 91.11
Sites, in units of the cell vectors:
K 0.156 0.844 0.750
K 0.178 0.424 0.750
K 0.424 0.178 0.250
K 0.576 0.822 0.750
K 0.822 0.576 0.250
K 0.844 0.156 0.250
Mn 0.441 0.559 0.250
Mn 0.559 0.441 0.750